{"formula": "AlReP2", "functional": "GGA-PBE", "state": "relaxed", "dft_energy_ev_per_atom": -6.78, "ef_ev_per_atom": -0.029, "density_g_cm3": 7.9, "spacegroup": "C2/m", "lattice": [[4.254, -0.004, 0.005], [3.109, 2.904, 0.005], [0.410, 0.162, 4.687]], "species": ["Re", "Al", "P", "P"], "frac_coords": [[0.750, 0.750, 0.750], [0.250, 0.250, 0.250], [0.025, 0.025, 0.969], [0.475, 0.475, 0.531]]}